# PmHo3Tl PBE-GGA optimized geometry
# Offset from the most stable computed form in eV/atom: 0.000
# V in Å³/f.u.: 148.5
# E_tot in eV/cell: -85.711
# Formation energy in eV/atom: -0.12
# Total moment in μB per cell: 0.1
data_PmHo3Tl
_cell_length_a 4.849
_cell_length_b 25.421
_cell_length_c 4.819
_cell_angle_alpha 90.00
_cell_angle_beta 90.00
_cell_angle_gamma 90.00
_space_group_name_H-M_alt 'C m c m'
_space_group_IT_number 63
_space_group_name_Hall '-C 2c 2'
loop_
_atom_site_label
_atom_site_fract_x
_atom_site_fract_y
_atom_site_fract_z
Pm1 0.000 0.148 0.250
Ho1 0.000 0.047 0.750
Ho2 0.000 0.250 0.750
Ho3 0.000 0.449 0.750
Tl1 0.000 0.346 0.250